1.
Al4InIr after structural relaxation, computed with GGA-PBE.

Values from the calculation:
As for the space group: F-43m.

Lattice parameters (Å, degrees): 5.228 5.228 5.228 60.00 60.00 60.00
Sites, in units of the cell vectors:
Al  0.125  0.125  0.125
Al  0.125  0.125  0.625
Al  0.125  0.625  0.125
Al  0.625  0.125  0.125
In  0.750  0.750  0.750
Ir  0.500  0.500  0.500

***

2.
Tb2Tm2Th after structural relaxation, computed with GGA-PBE.

Values from the calculation:
The value obtained for the energy above the most stable polymorph in this dataset is 0.000 eV/atom. As for the space group: Imma.

Lattice parameters (Å, degrees): 8.232 8.232 8.232 139.61 88.73 105.10
Sites, in units of the cell vectors:
Tb  0.221  0.148  0.072
Tb  0.424  0.852  0.572
Tb  0.576  0.148  0.428
Tb  0.779  0.852  0.928
Tm  0.050  0.436  0.614
Tm  0.322  0.436  0.886
Tm  0.678  0.564  0.114
Tm  0.950  0.564  0.386
Th  0.102  0.852  0.250
Th  0.898  0.148  0.750

***

For the records above, the corresponding formation energy from the elements values read 0.19 0.20 eV per atom.
For the records above, the corresponding E values read -25.440 -49.205 eV/cell.
For the records above, the corresponding total magnetization values read 0.000 0.000 μB/f.u..